TaMoRh3: PBEsol geometry, SCAN. Values from VASP.

```
&SYSTEM
  ibrav = 0, nat = 5, ntyp = 3
/
ATOMIC_SPECIES
Mo 95.94 Mo.upf
Rh 102.91 Rh.upf
Ta 180.95 Ta.upf
CELL_PARAMETERS angstrom
4.606 0.000 0.000
0.000 4.606 0.000
0.000 0.000 4.606
ATOMIC_POSITIONS crystal
Mo 0.500 0.500 0.500
Rh 0.000 0.500 0.000
Rh 0.000 0.000 0.500
Rh 0.500 0.000 0.000
Ta 0.000 0.000 0.000
```

## Properties
Size of the total moment in μB per cell: 4.02
Symmetry: Pm-3m, No. 221
Energy in eV per atom: -39.353
Energy above the lowest structure with this stoichiometry in eV per atom: 0.000
Formation energy from the elements in eV per atom: 1.204
Crystal system: cubic
DOS at the Fermi energy in states/eV/cell: 1.93



Ta2MoRh: PBEsol geometry, SCAN. Values from VASP.

```
&SYSTEM
  ibrav = 0, nat = 4, ntyp = 3
/
ATOMIC_SPECIES
Mo 95.94 Mo.upf
Rh 102.91 Rh.upf
Ta 180.95 Ta.upf
CELL_PARAMETERS angstrom
3.196 0.000 0.000
0.000 3.196 0.000
0.000 0.000 6.246
ATOMIC_POSITIONS crystal
Mo 0.500 0.500 0.000
Rh 0.500 0.500 0.500
Ta 0.000 0.000 0.754
Ta 0.000 0.000 0.246
```

## Properties
Size of the total moment in μB per cell: 0.00
Symmetry: P4/mmm, No. 123
Energy in eV per atom: -50.845
Energy above the lowest structure with this stoichiometry in eV per atom: 0.000
Formation energy from the elements in eV per atom: -0.389
Crystal system: tetragonal
DOS at the Fermi energy in states/eV/cell: 2.57



Ta2MoRh: PBEsol geometry, SCAN. Values from VASP.

```
&SYSTEM
  ibrav = 0, nat = 4, ntyp = 3
/
ATOMIC_SPECIES
Mo 95.94 Mo.upf
Rh 102.91 Rh.upf
Ta 180.95 Ta.upf
CELL_PARAMETERS angstrom
3.296 0.000 0.000
0.000 4.244 0.000
0.000 0.000 4.568
ATOMIC_POSITIONS crystal
Mo 0.500 0.500 0.000
Rh 0.000 0.500 0.500
Ta 0.000 0.000 0.000
Ta 0.500 0.000 0.500
```

## Properties
Size of the total moment in μB per cell: 0.00
Symmetry: Pmmm, No. 47
Energy in eV per atom: -50.622
Energy above the lowest structure with this stoichiometry in eV per atom: 0.223
Formation energy from the elements in eV per atom: -0.166
Crystal system: orthorhombic
DOS at the Fermi energy in states/eV/cell: 3.94



TaMo2Rh: PBEsol geometry, SCAN. Values from VASP.

```
&SYSTEM
  ibrav = 0, nat = 4, ntyp = 3
/
ATOMIC_SPECIES
Mo 95.94 Mo.upf
Rh 102.91 Rh.upf
Ta 180.95 Ta.upf
CELL_PARAMETERS angstrom
3.754 0.000 0.000
0.000 3.754 0.000
0.000 0.000 4.398
ATOMIC_POSITIONS crystal
Mo 0.000 0.500 0.000
Mo 0.500 0.000 0.000
Rh 0.500 0.500 0.500
Ta 0.000 0.000 0.500
```

## Properties
Size of the total moment in μB per cell: 0.00
Symmetry: P4/mmm, No. 123
Energy in eV per atom: -42.599
Energy above the lowest structure with this stoichiometry in eV per atom: 0.042
Formation energy from the elements in eV per atom: -0.068
Crystal system: tetragonal
DOS at the Fermi energy in states/eV/cell: 3.46



TaMo2Rh: PBEsol geometry, SCAN. Values from VASP.

```
&SYSTEM
  ibrav = 0, nat = 4, ntyp = 3
/
ATOMIC_SPECIES
Mo 95.94 Mo.upf
Rh 102.91 Rh.upf
Ta 180.95 Ta.upf
CELL_PARAMETERS angstrom
-1.595 -0.043 2.194
4.234 -2.294 1.833
0.297 5.153 -0.759
ATOMIC_POSITIONS crystal
Mo 0.000 0.000 0.500
Mo 0.500 0.500 0.500
Rh 0.500 0.000 0.000
Ta 0.000 0.500 0.000
```

## Properties
Size of the total moment in μB per cell: 0.00
Symmetry: C2/m, No. 12
Energy in eV per atom: -42.626
Energy above the lowest structure with this stoichiometry in eV per atom: 0.015
Formation energy from the elements in eV per atom: -0.095
Crystal system: monoclinic
DOS at the Fermi energy in states/eV/cell: 3.49



TaMo2Rh: PBEsol geometry, SCAN. Values from VASP.

```
&SYSTEM
  ibrav = 0, nat = 4, ntyp = 3
/
ATOMIC_SPECIES
Mo 95.94 Mo.upf
Rh 102.91 Rh.upf
Ta 180.95 Ta.upf
CELL_PARAMETERS angstrom
2.725 0.000 -0.004
0.000 4.384 0.000
-0.883 0.000 5.156
ATOMIC_POSITIONS crystal
Mo 0.005 0.000 0.009
Mo 0.771 0.500 0.235
Rh 0.485 0.000 0.510
Ta 0.239 0.500 0.746
```

## Properties
Size of the total moment in μB per cell: 0.00
Symmetry: Pm, No. 6
Energy in eV per atom: -42.641
Energy above the lowest structure with this stoichiometry in eV per atom: 0.000
Formation energy from the elements in eV per atom: -0.110
Crystal system: monoclinic
DOS at the Fermi energy in states/eV/cell: 2.96



Ta2MoRhW: PBEsol geometry, SCAN. Values from VASP.

```
&SYSTEM
  ibrav = 0, nat = 5, ntyp = 4
/
ATOMIC_SPECIES
Mo 95.94 Mo.upf
Rh 102.91 Rh.upf
W 183.84 W.upf
Ta 180.95 Ta.upf
CELL_PARAMETERS angstrom
-0.688 -1.560 4.180
4.244 -1.980 -0.041
1.848 3.924 1.769
ATOMIC_POSITIONS crystal
Mo 0.500 0.000 0.000
Rh 0.000 0.000 0.000
W 0.500 0.500 0.500
Ta 0.000 0.000 0.500
Ta 0.000 0.500 0.000
```

## Properties
Size of the total moment in μB per cell: 0.00
Symmetry: P4/mmm, No. 123
Energy in eV per atom: -52.653
Formation energy from the elements in eV per atom: 1.649
Crystal system: tetragonal
DOS at the Fermi energy in states/eV/cell: 5.36



TcMoRh: PBEsol geometry, SCAN. Values from VASP.

```
&SYSTEM
  ibrav = 0, nat = 3, ntyp = 3
/
ATOMIC_SPECIES
Mo 95.94 Mo.upf
Rh 102.91 Rh.upf
Tc 98.00 Tc.upf
CELL_PARAMETERS angstrom
4.132 0.000 0.000
2.066 3.578 0.000
2.066 1.193 3.374
ATOMIC_POSITIONS crystal
Mo 0.250 0.250 0.250
Rh 0.000 0.000 0.000
Tc 0.500 0.500 0.500
```

## Properties
Size of the total moment in μB per cell: 0.00
Symmetry: F-43m, No. 216
Energy in eV per atom: -34.052
Energy above the lowest structure with this stoichiometry in eV per atom: 0.532
Formation energy from the elements in eV per atom: 0.520
Crystal system: cubic
DOS at the Fermi energy in states/eV/cell: 3.94



TcMoRh: PBEsol geometry, SCAN. Values from VASP.

```
&SYSTEM
  ibrav = 0, nat = 3, ntyp = 3
/
ATOMIC_SPECIES
Mo 95.94 Mo.upf
Rh 102.91 Rh.upf
Tc 98.00 Tc.upf
CELL_PARAMETERS angstrom
2.701 0.000 0.000
-1.350 2.339 0.000
0.000 0.000 6.759
ATOMIC_POSITIONS crystal
Mo 0.000 0.000 0.996
Rh 0.667 0.333 0.665
Tc 0.333 0.667 0.339
```

## Properties
Size of the total moment in μB per cell: 0.00
Symmetry: P3m1, No. 156
Energy in eV per atom: -34.491
Energy above the lowest structure with this stoichiometry in eV per atom: 0.092
Formation energy from the elements in eV per atom: 0.081
Crystal system: trigonal
DOS at the Fermi energy in states/eV/cell: 3.39



TcMoRh: PBEsol geometry, SCAN. Values from VASP.

```
&SYSTEM
  ibrav = 0, nat = 3, ntyp = 3
/
ATOMIC_SPECIES
Mo 95.94 Mo.upf
Rh 102.91 Rh.upf
Tc 98.00 Tc.upf
CELL_PARAMETERS angstrom
2.683 0.089 0.000
-0.092 2.683 0.000
-1.296 -1.386 5.912
ATOMIC_POSITIONS crystal
Mo 0.002 0.002 0.005
Rh 0.670 0.670 0.339
Tc 0.328 0.328 0.656
```

## Properties
Size of the total moment in μB per cell: 0.00
Symmetry: I4mm, No. 107
Energy in eV per atom: -34.584
Energy above the lowest structure with this stoichiometry in eV per atom: 0.000
Formation energy from the elements in eV per atom: -0.011
Crystal system: tetragonal
DOS at the Fermi energy in states/eV/cell: 3.36



TlTcMo2Rh: PBEsol geometry, SCAN. Values from VASP.

```
&SYSTEM
  ibrav = 0, nat = 5, ntyp = 4
/
ATOMIC_SPECIES
Mo 95.94 Mo.upf
Tl 204.38 Tl.upf
Rh 102.91 Rh.upf
Tc 98.00 Tc.upf
CELL_PARAMETERS angstrom
4.628 0.000 0.000
0.000 4.658 0.000
0.000 0.000 4.658
ATOMIC_POSITIONS crystal
Mo 0.000 0.000 0.500
Mo 0.000 0.500 0.000
Tl 0.500 0.500 0.500
Rh 0.000 0.000 0.000
Tc 0.500 0.000 0.000
```

## Properties
Size of the total moment in μB per cell: 1.95
Symmetry: P4/mmm, No. 123
Energy in eV per atom: -40.545
Formation energy from the elements in eV per atom: 1.647
Crystal system: tetragonal
DOS at the Fermi energy in states/eV/cell: 4.79



TeMo2Rh: PBEsol geometry, SCAN. Values from VASP.

```
&SYSTEM
  ibrav = 0, nat = 4, ntyp = 3
/
ATOMIC_SPECIES
Mo 95.94 Mo.upf
Rh 102.91 Rh.upf
Te 127.60 Te.upf
CELL_PARAMETERS angstrom
3.056 0.000 0.000
0.000 4.735 -0.013
-1.528 -1.471 4.450
ATOMIC_POSITIONS crystal
Mo 0.994 0.970 0.988
Mo 0.763 0.307 0.526
Rh 0.501 0.444 0.002
Te 0.242 0.779 0.483
```

## Properties
Size of the total moment in μB per cell: 0.00
Symmetry: Cm, No. 8
Energy in eV per atom: -34.960
Crystal system: monoclinic
DOS at the Fermi energy in states/eV/cell: 2.78



- What is the formula in the eleventh record?
  TlTcMo2Rh



- Among the records above, which one has the highest energy?
  number 8